No. 1
Material: KNaRuCl6
Method: DFT, PBE
State: relaxed

Lattice parameters (Å, degrees): 6.9039 6.9039 13.0625 90.00 90.00 120.00
Each line ends with the local moment (μB).
Sites, in units of the cell vectors:
K 0.0000 0.0000 0.0000  0.00
K 0.0000 0.0000 0.5000  0.00
Na 0.3333 0.6667 0.2500  0.00
Na 0.6667 0.3333 0.7500  0.00
Ru 0.6667 0.3333 0.2500  1.42
Ru 0.3333 0.6667 0.7500  1.42
Cl 0.6561 0.6057 0.1455  0.06
Cl 0.9496 0.3438 0.1455  0.06
Cl 0.3439 0.9496 0.6455  0.06
Cl 0.0504 0.6562 0.8545  0.06
Cl 0.3943 0.3438 0.3545  0.06
Cl 0.9496 0.6057 0.3545  0.06
Cl 0.6057 0.9496 0.8545  0.06
Cl 0.6561 0.0504 0.3545  0.06
Cl 0.0504 0.3943 0.6455  0.06
Cl 0.3943 0.0504 0.1455  0.06
Cl 0.6057 0.6562 0.6455  0.06
Cl 0.3439 0.3943 0.8545  0.06

Summary:
Total DFT energy (no corrections) ... -0.13399 Ha/atom
E_form (uncorrected) ... -1.116 eV/atom
Total magnetization ... 4.000 μB/cell
Fermi-level density of states ... 0.81 states/eV/atom

***

No. 2
Material: Pr6NdAl2
Method: DFT, PBE
State: relaxed

Lattice parameters (Å, degrees): 3.8538 6.8107 11.9224 75.79 80.70 73.57
Sites, in units of the cell vectors:
Pr 0.6870 0.5014 0.1247
Pr 0.3130 0.4986 0.8753
Pr 0.3114 0.7875 0.5896
Pr 0.9752 0.7242 0.3253
Pr 0.0248 0.2758 0.6746
Pr 0.6886 0.2125 0.4104
Nd 0.0000 0.0000 0.0000
Al 0.3493 0.0992 0.2022
Al 0.6507 0.9008 0.7978

Summary:
Total DFT energy (no corrections) ... -0.17187 Ha/atom
Total magnetization ... 0.000 μB/cell
Fermi-level density of states ... 1.09 states/eV/atom
Energy relative to the elements ... -0.1290 eV/atom

***

No. 3
Material: BeRuPb2
Method: DFT, PBE
State: relaxed

Lattice parameters (Å, degrees): 3.1680 3.1681 8.5023 90.00 90.00 90.02
Sites, in units of the cell vectors:
Pb 0.0000 0.0000 0.9181
Pb 0.5000 0.5000 0.3402
Ru 0.0000 0.0000 0.5786
Be 0.5000 0.5000 0.6631

Summary:
Total DFT energy (no corrections) ... -0.18136 Ha/atom
Total magnetization ... 0.000 μB/cell
Fermi-level density of states ... 0.84 states/eV/atom
Energy relative to the elements ... 0.1695 eV/atom

***

No. 4
Material: KCa2Cr
Method: DFT, PBE
State: relaxed

Lattice parameters (Å, degrees): 5.8929 5.8929 5.8929 60.00 60.00 60.00
Each line ends with the local moment (μB).
Sites, in units of the cell vectors:
Cr 0.5000 0.5000 0.5000  4.00
Ca 0.2500 0.2500 0.2500  0.01
Ca 0.7500 0.7500 0.7500  0.01
K 0.0000 0.0000 0.0000  -0.01

Summary:
Total DFT energy (no corrections) ... -0.11430 Ha/atom
Total magnetization ... 4.822 μB/cell
Fermi-level density of states ... 1.10 states/eV/atom
Energy relative to the elements ... 0.5708 eV/atom